No. 1
# LaTbSm6Dy2

A relaxed LaTbSm6Dy2 crystal (PBE, Alexandria via LeMat-Bulk).

Cell lengths 9.752, 8.917, 8.917 Å; angles 117.74, 94.18, 94.18 degrees
Fractional coordinates of all 20 atoms:
Dy (0.045, 0.293, 0.194)
Dy (0.455, 0.806, 0.707)
Dy (0.955, 0.707, 0.806)
Dy (0.545, 0.194, 0.293)
Tb (0.750, 0.028, 0.972)
Tb (0.250, 0.972, 0.028)
Sm (0.379, 0.508, 0.294)
Sm (0.056, 0.114, 0.757)
Sm (0.944, 0.886, 0.243)
Sm (0.181, 0.570, 0.024)
Sm (0.879, 0.294, 0.508)
Sm (0.319, 0.976, 0.430)
Sm (0.681, 0.024, 0.570)
Sm (0.819, 0.430, 0.976)
Sm (0.556, 0.757, 0.114)
Sm (0.444, 0.243, 0.886)
Sm (0.121, 0.706, 0.492)
Sm (0.621, 0.492, 0.706)
La (0.250, 0.405, 0.595)
La (0.750, 0.595, 0.405)

Values from the calculation:
Total magnetization: 0.000 μB per atom
Formation energy: 0.12 eV per atom
D(E_F): 15.00 states/eV/f.u.
VASP energy: -4.588 eV per atom

=====

No. 2
# FeAsAu2

A relaxed FeAsAu2 crystal (PBE, Alexandria via LeMat-Bulk).

Cell lengths 3.070, 3.071, 7.003 Å; angles 90.00, 90.00, 90.00 degrees
Fractional coordinates of all 4 atoms:
Fe (0.000, 0.000, 0.528)
Au (0.500, 0.500, 0.276)
Au (0.000, 0.000, 0.996)
As (0.500, 0.500, 0.699)

Values from the calculation:
Total magnetization: 0.526 μB per atom
Formation energy: 0.13 eV per atom
D(E_F): 2.72 states/eV/f.u.
VASP energy: -4.785 eV per atom

=====

No. 3
# NiRuAu2

A relaxed NiRuAu2 crystal (PBE, Alexandria via LeMat-Bulk).

Cell lengths 4.821, 4.821, 4.907 Å; angles 80.59, 80.59, 33.40 degrees
Fractional coordinates of all 4 atoms:
Au (0.003, 0.003, 0.996)
Au (0.497, 0.497, 0.504)
Ni (0.750, 0.750, 0.750)
Ru (0.250, 0.250, 0.250)

Values from the calculation:
Total magnetization: 0.399 μB per atom
Energy relative to the lowest polymorph listed for this composition: 175 meV per atom
Formation energy: 0.37 eV per atom
D(E_F): 4.37 states/eV/f.u.
VASP energy: -5.033 eV per atom

=====

No. 4
# In3AsS

A relaxed In3AsS crystal (PBE, Alexandria via LeMat-Bulk).

Cell lengths 5.421, 5.421, 5.421 Å; angles 90.00, 90.00, 90.00 degrees
Fractional coordinates of all 5 atoms:
S (0.500, 0.500, 0.500)
In (0.000, 0.000, 0.500)
In (0.500, 0.000, 0.000)
In (0.000, 0.500, 0.000)
As (0.000, 0.000, 0.000)

Values from the calculation:
Total magnetization: 0.000 μB per atom
Energy relative to the lowest polymorph listed for this composition: 0 meV per atom
D(E_F): 1.21 states/eV/f.u.
Energy relative to the elements, uncorrected: 1.555 eV per formula unit
VASP energy: -3.088 eV per atom

=====

Copy entry 3 word for word.
# NiRuAu2

A relaxed NiRuAu2 crystal (PBE, Alexandria via LeMat-Bulk).

Cell lengths 4.821, 4.821, 4.907 Å; angles 80.59, 80.59, 33.40 degrees
Fractional coordinates of all 4 atoms:
Au (0.003, 0.003, 0.996)
Au (0.497, 0.497, 0.504)
Ni (0.750, 0.750, 0.750)
Ru (0.250, 0.250, 0.250)

Values from the calculation:
Total magnetization: 0.399 μB per atom
Energy relative to the lowest polymorph listed for this composition: 175 meV per atom
Formation energy: 0.37 eV per atom
D(E_F): 4.37 states/eV/f.u.
VASP energy: -5.033 eV per atom

=====

> What is the D(E_F) in the third record?

4.37 states/eV/f.u.

=====

> Number 1 is which compound?

LaTbSm6Dy2

=====

Repeat the first record exactly.
# LaTbSm6Dy2

A relaxed LaTbSm6Dy2 crystal (PBE, Alexandria via LeMat-Bulk).

Cell lengths 9.752, 8.917, 8.917 Å; angles 117.74, 94.18, 94.18 degrees
Fractional coordinates of all 20 atoms:
Dy (0.045, 0.293, 0.194)
Dy (0.455, 0.806, 0.707)
Dy (0.955, 0.707, 0.806)
Dy (0.545, 0.194, 0.293)
Tb (0.750, 0.028, 0.972)
Tb (0.250, 0.972, 0.028)
Sm (0.379, 0.508, 0.294)
Sm (0.056, 0.114, 0.757)
Sm (0.944, 0.886, 0.243)
Sm (0.181, 0.570, 0.024)
Sm (0.879, 0.294, 0.508)
Sm (0.319, 0.976, 0.430)
Sm (0.681, 0.024, 0.570)
Sm (0.819, 0.430, 0.976)
Sm (0.556, 0.757, 0.114)
Sm (0.444, 0.243, 0.886)
Sm (0.121, 0.706, 0.492)
Sm (0.621, 0.492, 0.706)
La (0.250, 0.405, 0.595)
La (0.750, 0.595, 0.405)

Values from the calculation:
Total magnetization: 0.000 μB per atom
Formation energy: 0.12 eV per atom
D(E_F): 15.00 states/eV/f.u.
VASP energy: -4.588 eV per atom